No. 1
Entry from Alexandria: an optimized crystal structure of TcOsAu2 (GGA-PBE).

## Properties
- offset from the most stable computed form (eV per atom) = 0.000
- total moment (μB/cell) = 0.0
- space group = P4mm, No. 99

Lattice parameters (Å, degrees): 2.8460 2.8460 8.0990 90.00 90.00 90.00
Sites, in units of the cell vectors:
Au  0.0000  0.0000  0.9874
Au  0.5000  0.5000  0.2618
Os  0.0000  0.0000  0.5279
Tc  0.5000  0.5000  0.7229

No. 2
Entry from Alexandria: an optimized crystal structure of TcOsAu4 (GGA-PBE).

## Properties
- total moment (μB/cell) = 1.5
- VASP energy (eV/atom) = -4.80
- space group = F-43m, No. 216

Lattice parameters (Å, degrees): 5.3538 5.3538 5.3538 60.00 60.00 60.00
Sites, in units of the cell vectors:
Tc  0.0000  0.0000  0.0000
Os  0.7500  0.7500  0.7500
Au  0.3751  0.8748  0.3751
Au  0.8748  0.3751  0.3751
Au  0.3751  0.3751  0.8748
Au  0.3751  0.3751  0.3751

No. 3
Entry from Alexandria: an optimized crystal structure of TcOsAu2 (GGA-PBE).

## Properties
- offset from the most stable computed form (eV per atom) = 0.457
- total moment (μB/cell) = 0.0
- space group = I4/mmm, No. 139

Lattice parameters (Å, degrees): 5.0391 5.0391 5.0391 134.53 134.53 66.26
Sites, in units of the cell vectors:
Au  0.0000  0.0000  0.0000
Au  0.5000  0.5000  0.0000
Os  0.2500  0.7500  0.5000
Tc  0.7500  0.2500  0.5000

No. 4
Entry from Alexandria: an optimized crystal structure of Tc2OsAu (GGA-PBE).

## Properties
- offset from the most stable computed form (eV per atom) = 0.005
- total moment (μB/cell) = 0.0
- space group = R-3m, No. 166

Lattice parameters (Å, degrees): 9.2871 9.2871 9.2871 17.25 17.25 17.25
Sites, in units of the cell vectors:
Au  0.2500  0.2500  0.2500
Os  0.7500  0.7500  0.7500
Tc  0.0055  0.0055  0.0055
Tc  0.4945  0.4945  0.4945